Record 1
This record from the Alexandria database describes a relaxed NaAlH2CO5 crystal. The functional is PBEsol.

Calculated values
- Space-group type: No. 74
- Magnetic moment: 0.00 μB per cell
- Calculated total energy: -6.666 eV per atom
- V: 193.24 Å³ per cell

Unit cell a=5.5901 b=6.7454 c=6.7454 alpha=59.89 beta=65.52 gamma=65.52
Atoms (fractional coordinates):
1 O 0.2252 0.8422 0.7075
2 O 0.2252 0.2075 0.3422
3 O 0.3742 0.3758 0.8758
4 O 0.6408 0.8116 0.3116
5 O 0.6258 0.6242 0.1242
6 O 0.7748 0.1578 0.2925
7 O 0.7640 0.1884 0.6884
8 O 0.2360 0.8116 0.3116
9 O 0.3592 0.1884 0.6884
10 O 0.7748 0.7925 0.6578
11 Al 0.0000 0.0000 0.5000
12 Al 0.5000 0.0000 0.5000
13 C 0.4980 0.2520 0.7520
14 C 0.5020 0.7480 0.2480
15 Na 0.0000 0.5000 0.5000
16 Na 0.0000 0.0000 0.0000
17 H 0.7187 0.7265 0.8361
18 H 0.2813 0.6639 0.7735
19 H 0.7187 0.3361 0.2265
20 H 0.2813 0.2735 0.1639


Record 2
This record from the Alexandria database describes a relaxed SrAl2H6C2O11 crystal. The functional is PBEsol.

Calculated values
- Space-group type: No. 62
- Magnetic moment: 0.13 μB per cell
- Calculated total energy: -6.718 eV per atom
- V: 805.98 Å³ per cell

Unit cell a=5.6045 b=8.9058 c=16.1478 alpha=90.00 beta=90.00 gamma=90.00
Atoms (fractional coordinates):
1 O 0.7500 0.6016 0.9561
2 O 0.7500 0.4724 0.8120
3 O 0.0473 0.7642 0.5907
4 O 0.2500 0.7866 0.2401
5 O 0.9512 0.5962 0.3151
6 O 0.0488 0.4038 0.6849
7 O 0.9527 0.2642 0.9093
8 O 0.2500 0.7399 0.4726
9 O 0.2500 0.9724 0.6880
10 O 0.7500 0.5448 0.4307
11 O 0.7500 0.9552 0.9307
12 O 0.7500 0.0276 0.3120
13 O 0.2500 0.5276 0.1880
14 O 0.4512 0.4038 0.6849
15 O 0.9527 0.2358 0.4093
16 O 0.2500 0.3053 0.2872
17 O 0.4527 0.7642 0.5907
18 O 0.2500 0.4604 0.8330
19 O 0.4512 0.0962 0.1849
20 O 0.2500 0.0396 0.3330
21 O 0.7500 0.8053 0.2128
22 O 0.2500 0.7134 0.7401
23 O 0.0488 0.0962 0.1849
24 O 0.5473 0.2642 0.9093
25 O 0.7500 0.9604 0.6670
26 O 0.5488 0.9038 0.8151
27 O 0.7500 0.5396 0.1670
28 O 0.7500 0.8984 0.4561
29 O 0.7500 0.2134 0.7599
30 O 0.2500 0.7601 0.9726
31 O 0.7500 0.2601 0.5274
32 O 0.2500 0.0448 0.0693
33 O 0.0473 0.7358 0.0907
34 O 0.2500 0.1016 0.5439
35 O 0.9512 0.9038 0.8151
36 O 0.2500 0.4552 0.5693
37 O 0.2500 0.3984 0.0439
38 O 0.7500 0.6947 0.7128
39 O 0.5488 0.5962 0.3151
40 O 0.7500 0.2399 0.0274
41 O 0.7500 0.2866 0.2599
42 O 0.2500 0.1947 0.7872
43 O 0.5473 0.2358 0.4093
44 O 0.4527 0.7358 0.0907
45 H 0.2500 0.3908 0.2446
46 H 0.3914 0.3363 0.0310
47 H 0.2500 0.0229 0.3931
48 H 0.7500 0.8908 0.2554
49 H 0.7500 0.5251 0.8682
50 H 0.6086 0.6637 0.9690
51 H 0.2500 0.4771 0.8931
52 H 0.2500 0.0251 0.6318
53 H 0.2500 0.8729 0.2794
54 H 0.8914 0.6637 0.9690
55 H 0.3914 0.1637 0.5310
56 H 0.7500 0.6092 0.7554
57 H 0.7500 0.1271 0.7206
58 H 0.2500 0.4749 0.1318
59 H 0.6086 0.8363 0.4690
60 H 0.7500 0.3729 0.2206
61 H 0.1086 0.3363 0.0310
62 H 0.7500 0.5229 0.1069
63 H 0.8914 0.8363 0.4690
64 H 0.2500 0.1092 0.7446
65 H 0.2500 0.6271 0.7794
66 H 0.7500 0.9749 0.3682
67 H 0.1086 0.1637 0.5310
68 H 0.7500 0.9771 0.6069
69 C 0.2500 0.7561 0.5508
70 C 0.2500 0.4204 0.6465
71 C 0.7500 0.2439 0.4492
72 C 0.2500 0.7439 0.0508
73 C 0.7500 0.2561 0.9492
74 C 0.2500 0.0796 0.1465
75 C 0.7500 0.9204 0.8535
76 C 0.7500 0.5796 0.3535
77 Sr 0.7500 0.5245 0.5852
78 Sr 0.2500 0.0245 0.9148
79 Sr 0.2500 0.4755 0.4148
80 Sr 0.7500 0.9755 0.0852
81 Al 0.4981 0.8303 0.7039
82 Al 0.5019 0.1697 0.2961
83 Al 0.9981 0.1697 0.2961
84 Al 0.5019 0.3303 0.7961
85 Al 0.0019 0.8303 0.7039
86 Al 0.0019 0.6697 0.2039
87 Al 0.4981 0.6697 0.2039
88 Al 0.9981 0.3303 0.7961


Record 3
This record from the Alexandria database describes a relaxed Hf2Al3C4 crystal. The functional is PBEsol.

Calculated values
- Space-group type: No. 194
- Magnetic moment: 0.00 μB per cell
- Calculated total energy: -8.522 eV per atom
- ΔE_f: -467 kJ/mol of formula units
- V: 208.90 Å³ per cell

Unit cell a=3.3140 b=3.3140 c=21.9638 alpha=90.00 beta=90.00 gamma=120.00
Atoms (fractional coordinates):
1 Al 0.3333 0.6667 0.2500
2 Al 0.0000 0.0000 0.8418
3 Al 0.0000 0.0000 0.6582
4 Al 0.0000 0.0000 0.3418
5 Al 0.0000 0.0000 0.1582
6 Al 0.6667 0.3333 0.7500
7 Hf 0.3333 0.6667 0.5576
8 Hf 0.3333 0.6667 0.9424
9 Hf 0.6667 0.3333 0.0576
10 Hf 0.6667 0.3333 0.4424
11 C 0.0000 0.0000 0.5000
12 C 0.6667 0.3333 0.8738
13 C 0.0000 0.0000 0.0000
14 C 0.6667 0.3333 0.6262
15 C 0.3333 0.6667 0.3738
16 C 0.3333 0.6667 0.1262
17 C 0.0000 0.0000 0.2500
18 C 0.0000 0.0000 0.7500


Record 4
This record from the Alexandria database describes a relaxed Al2HgIrC crystal. The functional is PBEsol.

Calculated values
- Space-group type: No. 123
- Magnetic moment: 0.00 μB per cell
- Calculated total energy: -5.331 eV per atom
- ΔE_f: 151 kJ/mol of formula units
- V: 69.40 Å³ per cell

Unit cell a=4.0133 b=4.0133 c=4.3085 alpha=90.00 beta=90.00 gamma=90.00
Atoms (fractional coordinates):
1 Al 0.0000 0.5000 0.0000
2 Al 0.5000 0.0000 0.0000
3 C 0.0000 0.0000 0.0000
4 Ir 0.0000 0.0000 0.5000
5 Hg 0.5000 0.5000 0.5000


Record 5
This record from the Alexandria database describes a relaxed AlHgPd2C crystal. The functional is PBEsol.

Calculated values
- Space-group type: No. 123
- Magnetic moment: 0.00 μB per cell
- Calculated total energy: -5.187 eV per atom
- ΔE_f: 27 kJ/mol of formula units
- V: 71.08 Å³ per cell

Unit cell a=3.8250 b=4.3108 c=4.3108 alpha=90.00 beta=90.00 gamma=90.00
Atoms (fractional coordinates):
1 Hg 0.5000 0.5000 0.5000
2 C 0.0000 0.0000 0.0000
3 Al 0.5000 0.0000 0.0000
4 Pd 0.0000 0.5000 0.0000
5 Pd 0.0000 0.0000 0.5000


Record 6
This record from the Alexandria database describes a relaxed HoAl3C3 crystal. The functional is PBEsol.

Calculated values
- Space-group type: No. 194
- Magnetic moment: 0.00 μB per cell
- Calculated total energy: -6.930 eV per atom
- ΔE_f: -227 kJ/mol of formula units
- V: 172.36 Å³ per cell

Unit cell a=3.4077 b=3.4077 c=17.1393 alpha=90.00 beta=90.00 gamma=120.00
Atoms (fractional coordinates):
1 Al 0.3333 0.6667 0.3671
2 Al 0.3333 0.6667 0.1329
3 Al 0.6667 0.3333 0.8671
4 Al 0.3333 0.6667 0.7500
5 Al 0.6667 0.3333 0.6329
6 Al 0.6667 0.3333 0.2500
7 C 0.3333 0.6667 0.5917
8 C 0.3333 0.6667 0.9083
9 C 0.6667 0.3333 0.0917
10 C 0.6667 0.3333 0.7500
11 C 0.6667 0.3333 0.4083
12 C 0.3333 0.6667 0.2500
13 Ho 0.0000 0.0000 0.5000
14 Ho 0.0000 0.0000 0.0000